(1)
## Sm5Y2Sb4 (PBE-GGA)

Data for a relaxed Sm5Y2Sb4 crystal.

```
Sm5Y2Sb4
1.0
11.298 -2.041 0.000
11.298 2.041 0.000
-0.975 0.000 7.937
Sm Y Sb
5 2 4
Direct
0.000 0.000 0.000
0.317 0.317 0.919
0.441 0.441 0.624
0.559 0.559 0.376
0.683 0.683 0.081
0.299 0.299 0.350
0.701 0.701 0.650
0.163 0.163 0.369
0.425 0.425 0.215
0.575 0.575 0.785
0.837 0.837 0.631
```

Calculated values
**Formation energy (no corrections)**: -0.579 eV per atom
**Symmetry**: C2/m
**Energy**: -59.4 eV per formula unit

---

(2)
## NaHf2Ge (PBE-GGA)

Data for a relaxed NaHf2Ge crystal.

```
NaHf2Ge
1.0
7.877 0.000 0.000
0.000 7.877 0.000
0.000 0.000 5.791
Na Hf Ge
4 8 4
Direct
0.000 0.000 0.000
0.000 0.500 0.250
0.500 0.000 0.750
0.500 0.500 0.500
0.215 0.250 0.625
0.250 0.715 0.875
0.250 0.785 0.375
0.285 0.250 0.125
0.715 0.750 0.125
0.750 0.215 0.375
0.750 0.285 0.875
0.785 0.750 0.625
0.000 0.000 0.500
0.000 0.500 0.750
0.500 0.000 0.250
0.500 0.500 0.000
```

Calculated values
**Symmetry**: I-42d
**ΔE_f**: 0.45 eV per atom
**Energy**: -24.1 eV per formula unit

---

(3)
## KRbGe3 (PBE-GGA)

Data for a relaxed KRbGe3 crystal.

```
KRbGe3
1.0
5.817 0.000 0.000
0.000 5.817 0.000
0.000 0.000 5.817
K Rb Ge
1 1 3
Direct
0.000 0.000 0.000
0.500 0.500 0.500
0.000 0.000 0.500
0.000 0.500 0.000
0.500 0.000 0.000
```

Calculated values
**Energy above the most stable polymorph in this dataset**: 0.000 eV per atom
**Symmetry**: Pm-3m
**ΔE_f**: 1.05 eV per atom
**Energy**: -10.7 eV per formula unit

---

(4)
## GeRhO3 (PBE-GGA)

Data for a relaxed GeRhO3 crystal.

```
GeRhO3
1.0
3.885 0.000 0.000
0.000 3.885 0.000
0.000 0.000 3.885
Ge Rh O
1 1 3
Direct
0.000 0.000 0.000
0.500 0.500 0.500
0.000 0.500 0.500
0.500 0.000 0.500
0.500 0.500 0.000
```

Calculated values
**Formation energy (no corrections)**: -0.343 eV per atom
**Symmetry**: Pm-3m
**Energy**: -28.6 eV per formula unit

---

(5)
## CdCu2Pt (PBE-GGA)

Data for a relaxed CdCu2Pt crystal.

```
CdCu2Pt
1.0
2.844 0.000 0.000
0.000 3.751 0.000
0.000 0.000 5.648
Cd Cu Pt
1 2 1
Direct
0.000 0.000 0.000
0.000 0.000 0.485
0.500 0.500 0.265
0.500 0.500 0.719
```

Calculated values
**Symmetry**: Pmm2
**ΔE_f**: -0.10 eV per atom
**Energy**: -15.5 eV per formula unit

---

(6)
## Ac8OsRu2 (PBE-GGA)

Data for a relaxed Ac8OsRu2 crystal.

```
Ac8OsRu2
1.0
6.734 -4.311 0.000
6.734 4.311 0.000
-0.093 0.000 7.140
Ac Os Ru
8 1 2
Direct
0.121 0.121 0.166
0.130 0.615 0.333
0.369 0.369 0.828
0.385 0.870 0.667
0.615 0.130 0.333
0.631 0.631 0.172
0.870 0.385 0.667
0.879 0.879 0.834
0.000 0.000 0.500
0.238 0.238 0.516
0.762 0.762 0.484
```

Calculated values
**Symmetry**: C2/m
**ΔE_f**: -0.10 eV per atom
**Energy**: -63.8 eV per formula unit

---

(7)
## CsAg4P12 (PBE-GGA)

Data for a relaxed CsAg4P12 crystal.

```
CsAg4P12
1.0
-4.381 4.381 4.381
4.381 -4.381 4.381
4.381 4.381 -4.381
Cs Ag P
1 4 12
Direct
0.000 0.000 0.000
0.000 0.000 0.500
0.000 0.500 0.000
0.500 0.000 0.000
0.500 0.500 0.500
0.126 0.501 0.374
0.126 0.752 0.626
0.248 0.374 0.874
0.374 0.126 0.501
0.374 0.874 0.248
0.499 0.626 0.874
0.501 0.374 0.126
0.626 0.126 0.752
0.626 0.874 0.499
0.752 0.626 0.126
0.874 0.248 0.374
0.874 0.499 0.626
```

Calculated values
**Symmetry**: Im-3
**ΔE_f**: 0.05 eV per atom
**Energy**: -76.3 eV per formula unit

---

(8)
## Li2La2ZnPd5 (PBE-GGA)

Data for a relaxed Li2La2ZnPd5 crystal.

```
Li2La2ZnPd5
1.0
9.642 0.000 0.000
0.000 9.642 0.000
0.000 0.000 3.803
Li La Zn Pd
4 4 2 10
Direct
0.119 0.381 0.000
0.381 0.881 0.000
0.619 0.119 0.000
0.881 0.619 0.000
0.181 0.681 0.000
0.319 0.181 0.000
0.681 0.819 0.000
0.819 0.319 0.000
0.000 0.000 0.000
0.500 0.500 0.000
0.000 0.500 0.500
0.063 0.204 0.500
0.204 0.937 0.500
0.296 0.437 0.500
0.437 0.704 0.500
0.500 0.000 0.500
0.563 0.296 0.500
0.704 0.563 0.500
0.796 0.063 0.500
0.937 0.796 0.500
```

Calculated values
**Symmetry**: P4/mbm
**ΔE_f**: -0.61 eV per atom
**Energy**: -47.0 eV per formula unit

---

(9)
## MgCoRu (PBE-GGA)

Data for a relaxed MgCoRu crystal.

```
MgCoRu
1.0
4.225 0.000 0.000
-2.112 3.659 0.000
0.000 0.000 2.787
Mg Co Ru
1 1 1
Direct
0.000 0.000 0.000
0.667 0.333 0.624
0.333 0.667 0.424
```

Calculated values
**Energy above the most stable polymorph in this dataset**: 0.095 eV per atom
**Symmetry**: P3m1
**ΔE_f**: 0.20 eV per atom
**Energy**: -17.4 eV per formula unit

---

(10)
## Pr3HoSn2 (PBE-GGA)

Data for a relaxed Pr3HoSn2 crystal.

```
Pr3HoSn2
1.0
4.987 0.000 0.000
0.000 16.310 0.000
0.000 0.000 4.488
Pr Ho Sn
6 2 4
Direct
0.000 0.000 0.000
0.000 0.322 0.000
0.000 0.678 0.000
0.500 0.178 0.000
0.500 0.500 0.000
0.500 0.822 0.000
0.000 0.500 0.500
0.500 0.000 0.500
0.000 0.147 0.500
0.000 0.853 0.500
0.500 0.353 0.500
0.500 0.647 0.500
```

Calculated values
**Energy above the most stable polymorph in this dataset**: 0.040 eV per atom
**Symmetry**: Cmmm
**ΔE_f**: -0.53 eV per atom
**Energy**: -30.1 eV per formula unit

---

(11)
## La2ZnPt3 (PBE-GGA)

Data for a relaxed La2ZnPt3 crystal.

```
La2ZnPt3
1.0
0.000 4.374 8.064
3.875 0.000 8.064
3.875 4.374 0.000
La Zn Pt
4 2 6
Direct
0.247 0.753 0.753
0.250 0.250 0.250
0.750 0.750 0.750
0.753 0.247 0.247
0.336 0.336 0.664
0.664 0.664 0.336
0.170 0.663 0.337
0.180 0.180 0.820
0.337 0.830 0.170
0.663 0.170 0.830
0.820 0.820 0.180
0.830 0.337 0.663
```

Calculated values
**Symmetry**: Fmmm
**ΔE_f**: -0.98 eV per atom
**Energy**: -35.1 eV per formula unit

---

Q: What is the energy in the ninth record?
A: -17.4 eV per formula unit